Entry 1:
A PBEsol-optimized structure of LaIr2Pb, computed with meta-GGA SCAN.

Cell: 3.7484 4.3893 5.7076 Å, 111.49 109.17 90.00°
With the nearest neighbours (Å) after each atom.
Fractional positions:
Ir 0.9954 0.9752 0.9909  4 La 2.84-2.93, 2 Ir 2.86, 2 Pb 2.98
Ir 0.2783 0.8057 0.5566  4 Pb 2.83-3.03, 2 Ir 2.86, 2 La 3.02-3.17
La 0.4979 0.4902 0.9957  6 Ir 2.84-3.17, 1 Pb 3.11
Pb 0.7284 0.2290 0.4568  6 Ir 2.83-3.03, 1 La 3.11

---

Entry 2:
A PBEsol-optimized structure of La2IrPb, computed with meta-GGA SCAN.

Cell: 3.5337 3.5341 8.4073 Å, 90.00 90.00 90.05°
With the nearest neighbours (Å) after each atom.
Fractional positions:
Pb 0.5000 0.5000 0.5000  8 La 3.52, 4 Pb 3.53
Ir 0.5000 0.5000 0.0000  8 La 3.03-3.04
La 0.0000 0.0000 0.2047  4 Ir 3.03-3.04
La 0.0000 0.0000 0.7953  4 Ir 3.03-3.04

---

Entry 3:
A PBEsol-optimized structure of LaIrPb, computed with meta-GGA SCAN.

Cell: 4.8321 4.8321 4.8321 Å, 60.00 60.00 60.00°
With the nearest neighbours (Å) after each atom.
Fractional positions:
Ir 0.0000 0.0000 0.0000  4 Pb 2.96
La 0.5000 0.5000 0.5000  4 Pb 2.96
Pb 0.2500 0.2500 0.2500  4 Ir 2.96, 4 La 2.96

---

Entry 4:
A PBEsol-optimized structure of LaIr2Pb, computed with meta-GGA SCAN.

Cell: 3.2734 3.2734 7.5192 Å, 90.00 90.00 90.00°
With the nearest neighbours (Å) after each atom.
Fractional positions:
Ir 0.0000 0.0000 0.7237  4 Pb 2.86, 4 La 3.11
Ir 0.0000 0.0000 0.2763  4 Pb 2.86, 4 La 3.11
La 0.5000 0.5000 0.0000  8 Ir 3.11, 4 La 3.27
Pb 0.5000 0.5000 0.5000  8 Ir 2.86

---

Entry 5:
A PBEsol-optimized structure of La2IrPd, computed with meta-GGA SCAN.

Cell: 5.0444 5.0444 5.0444 Å, 60.00 60.00 60.00°
With the nearest neighbours (Å) after each atom.
Fractional positions:
Ir 0.5000 0.5000 0.5000  8 La 3.09
Pd 0.0000 0.0000 0.0000  8 La 3.09
La 0.2500 0.2500 0.2500  4 Ir 3.09, 4 Pd 3.09
La 0.7500 0.7500 0.7500  4 Ir 3.09, 4 Pd 3.09

---

Entry 6:
A PBEsol-optimized structure of LaTa2IrPd, computed with meta-GGA SCAN.

Cell: 4.6939 4.8315 4.8315 Å, 90.00 90.00 90.00°
With the nearest neighbours (Å) after each atom.
Fractional positions:
Ir 0.5000 0.5000 0.5000  8 Ta 3.37, 4 Pd 3.42
La 0.0000 0.0000 0.0000  2 Pd 2.35, 4 Ta 2.42
Pd 0.5000 0.0000 0.0000  2 La 2.35
Ta 0.0000 0.0000 0.5000  2 La 2.42
Ta 0.0000 0.5000 0.0000  2 La 2.42

---

Formation energy from the elements for the records above, in order: -32, -795, 93, 58, -815, 2467 meV per atom
Total DFT energy (no corrections) for the records above, in order: -65.303, -59.068, -63.236, -65.213, -48.336, -53.562 eV per atom